(1)
Below is a relaxed LuHf2As crystal, with properties calculated at the GGA-PBE level.

a = 6.9784 Å, b = 6.9784 Å, c = 6.9784 Å
α = 90.00°, β = 90.00°, γ = 90.00°
Space group F-43m (No. 216)
Inequivalent atoms, fractional coordinates:
Lu: 0.0000 0.0000 0.0000 (multiplicity 4)
Hf: 0.0000 0.0000 0.5000 (multiplicity 4)
Hf: 0.2500 0.2500 0.2500 (multiplicity 4)
As: 0.2500 0.2500 0.7500 (multiplicity 4)

Results
The total magnetization comes out at 1.62 μB per formula unit. The density is 11.9 g cm⁻³. For the final energy, the calculation gives -115.93 eV for the cell shown.

---

(2)
Below is a relaxed ZnNi2Pb crystal, with properties calculated at the GGA-PBE level.

a = 6.2356 Å, b = 6.2356 Å, c = 6.2356 Å
α = 90.00°, β = 90.00°, γ = 90.00°
Space group F-43m (No. 216)
Inequivalent atoms, fractional coordinates:
Zn: 0.0000 0.0000 0.0000 (multiplicity 4)
Ni: 0.0000 0.0000 0.5000 (multiplicity 4)
Ni: 0.2500 0.2500 0.2500 (multiplicity 4)
Pb: 0.2500 0.2500 0.7500 (multiplicity 4)

Results
The total magnetization comes out at 0.00 μB per formula unit. The density is 10.7 g cm⁻³. For the final energy, the calculation gives -60.16 eV for the cell shown.

---

(3)
Below is a relaxed KCdFeTe3 crystal, with properties calculated at the GGA-PBE level.

a = 9.1275 Å, b = 4.3359 Å, c = 10.2689 Å
α = 90.00°, β = 114.86°, γ = 90.00°
Space group P2_1/m (No. 11)
Inequivalent atoms, fractional coordinates:
K: 0.0129 0.2500 0.2638 (multiplicity 2)
Cd: 0.4260 0.2500 0.1076 (multiplicity 2)
Fe: 0.4920 0.2500 0.6384 (multiplicity 2)
Te: 0.2233 0.7500 0.1290 (multiplicity 2)
Te: 0.3150 0.2500 0.7914 (multiplicity 2)
Te: 0.3370 0.7500 0.5071 (multiplicity 2)

Results
The total magnetization comes out at 2.67 μB per formula unit. The density is 5.3 g cm⁻³. For the final energy, the calculation gives -43.25 eV for the cell shown.

---

(4)
Below is a relaxed SmZnNO crystal, with properties calculated at the GGA-PBE level.

a = 5.6819 Å, b = 7.6173 Å, c = 5.6640 Å
α = 90.00°, β = 90.00°, γ = 90.00°
Space group Pca2_1 (No. 29)
Inequivalent atoms, fractional coordinates:
Sm: 0.0353 0.1450 0.0000 (multiplicity 4)
Zn: 0.1002 0.4628 0.6032 (multiplicity 4)
N: 0.1157 0.3775 0.2768 (multiplicity 4)
O: 0.2462 0.9702 0.2372 (multiplicity 4)

Results
The total magnetization comes out at 0.00 μB per formula unit. The density is 6.7 g cm⁻³. The energy above the lowest structure with this stoichiometry is 0.00 eV per formula unit. For the final energy, the calculation gives -102.20 eV for the cell shown.

---

(5)
Below is a relaxed NaInNiTe3 crystal, with properties calculated at the GGA-PBE level.

a = 4.2114 Å, b = 12.8734 Å, c = 12.2428 Å
α = 90.00°, β = 90.00°, γ = 90.00°
Space group Cmcm (No. 63)
Inequivalent atoms, fractional coordinates:
Na: 0.0000 0.2482 0.2500 (multiplicity 4)
In: 0.0000 0.5000 0.0000 (multiplicity 4)
Ni: 0.0000 0.0648 0.7500 (multiplicity 4)
Te: 0.0000 0.1533 0.5648 (multiplicity 8)
Te: 0.0000 0.4591 0.7500 (multiplicity 4)

Results
The total magnetization comes out at 0.00 μB per formula unit. The density is 5.8 g cm⁻³. The energy above the lowest structure with this stoichiometry is 0.21 eV per formula unit. For the final energy, the calculation gives -83.51 eV for the cell shown.

---

(6)
Below is a relaxed CdAs2P2 crystal, with properties calculated at the GGA-PBE level.

a = 3.9077 Å, b = 18.0684 Å, c = 5.5067 Å
α = 90.00°, β = 90.00°, γ = 90.00°
Space group Cmc2_1 (No. 36)
Inequivalent atoms, fractional coordinates:
Cd: 0.0000 0.0998 0.0000 (multiplicity 4)
As: 0.0000 0.0910 0.4932 (multiplicity 4)
As: 0.0000 0.2871 0.4040 (multiplicity 4)
P: 0.0000 0.2958 0.9769 (multiplicity 4)
P: 0.0000 0.4934 0.0062 (multiplicity 4)

Results
The density is 5.5 g cm⁻³. For the final energy, the calculation gives -80.56 eV for the cell shown.